[1]
A relaxed structure of LaTbHg, computed with PBE.

Values from the calculation:
As for the density: 8.18 g cm⁻³. The calculation puts the formation energy at -0.11 eV/atom. For the uncorrected energy, the calculation gives -0.125 Ha/atom.

CIF file:
```
data_LaTbHg
_cell_length_a 7.3967
_cell_length_b 7.3967
_cell_length_c 7.3967
_cell_angle_alpha 90.00
_cell_angle_beta 90.00
_cell_angle_gamma 90.00
_symmetry_space_group_name_H-M 'F -4 3 m'
_symmetry_Int_Tables_number 216
_symmetry_space_group_name_Hall 'F -4 2 3'
loop_
_atom_site_label
_atom_site_type_symbol
_atom_site_fract_x
_atom_site_fract_y
_atom_site_fract_z
La1 La 0.0000 0.0000 0.0000
Tb1 Tb 0.0000 0.0000 0.5000
Hg1 Hg 0.2500 0.2500 0.2500
```



[2]
A relaxed structure of ZnPbSO, computed with PBE.

Values from the calculation:
As for the density: 6.80 g cm⁻³. For the uncorrected energy, the calculation gives -0.152 Ha/atom. As for the offset from the most stable computed form: 328 meV per atom.

CIF file:
```
data_ZnPbSO
_cell_length_a 4.6000
_cell_length_b 4.6000
_cell_length_c 7.4048
_cell_angle_alpha 90.00
_cell_angle_beta 90.00
_cell_angle_gamma 90.00
_symmetry_space_group_name_H-M 'P 4/n m m'
_symmetry_Int_Tables_number 129
loop_
_symmetry_equiv_pos_as_xyz
'x,y,z'
'-x,-y,-z'
'-y+1/2,x,z'
'y+1/2,-x,-z'
'-x+1/2,-y+1/2,z'
'x+1/2,y+1/2,-z'
'y,-x+1/2,z'
'-y,x+1/2,-z'
'x+1/2,-y,-z'
'-x+1/2,y,z'
'-y,-x,-z'
'y,x,z'
'-x,y+1/2,-z'
'x,-y+1/2,z'
'y+1/2,x+1/2,-z'
'-y+1/2,-x+1/2,z'
loop_
_atom_site_label
_atom_site_type_symbol
_atom_site_fract_x
_atom_site_fract_y
_atom_site_fract_z
Zn1 Zn 0.2500 0.2500 0.1188
Pb1 Pb 0.2500 0.2500 0.6700
S1 S 0.2500 0.7500 0.0000
O1 O 0.2500 0.2500 0.3793
```



[3]
A relaxed structure of Tb3MgCd2In3, computed with PBE.

Values from the calculation:
As for the density: 7.79 g cm⁻³. For the uncorrected energy, the calculation gives -0.119 Ha/atom.

CIF file:
```
data_Tb3MgCd2In3
_cell_length_a 4.6620
_cell_length_b 13.0030
_cell_length_c 7.5244
_cell_angle_alpha 90.00
_cell_angle_beta 90.00
_cell_angle_gamma 90.00
_symmetry_space_group_name_H-M 'A m m 2'
_symmetry_Int_Tables_number 38
_symmetry_space_group_name_Hall 'A 2 -2'
loop_
_atom_site_label
_atom_site_type_symbol
_atom_site_fract_x
_atom_site_fract_y
_atom_site_fract_z
Tb1 Tb 0.0000 0.0000 0.0000
Tb2 Tb 0.0000 0.2183 0.3512
Mg1 Mg 0.5000 0.0000 0.3306
Cd1 Cd 0.5000 0.1232 0.6900
In1 In 0.0000 0.0000 0.5652
In2 In 0.5000 0.1641 0.0702
```



[4]
A relaxed structure of NaAgIrS3, computed with PBE.

Values from the calculation:
As for the density: 5.86 g cm⁻³. For the uncorrected energy, the calculation gives -0.164 Ha/atom.

CIF file:
```
data_NaAgIrS3
_cell_length_a 3.6520
_cell_length_b 13.4570
_cell_length_c 9.6779
_cell_angle_alpha 90.00
_cell_angle_beta 90.00
_cell_angle_gamma 90.00
_symmetry_space_group_name_H-M 'C m c m'
_symmetry_Int_Tables_number 63
_symmetry_space_group_name_Hall '-C 2c 2'
loop_
_atom_site_label
_atom_site_type_symbol
_atom_site_fract_x
_atom_site_fract_y
_atom_site_fract_z
Na1 Na 0.0000 0.2255 0.2500
Ag1 Ag 0.0000 0.0893 0.7500
Ir1 Ir 0.0000 0.5000 0.0000
S1 S 0.0000 0.1174 0.5080
S2 S 0.0000 0.4428 0.7500
```



[5]
A relaxed structure of Tm2Os2O5, computed with PBE.

Values from the calculation:
As for the density: 11.63 g cm⁻³. For the uncorrected energy, the calculation gives -0.281 Ha/atom. As for the offset from the most stable computed form: 181 meV per atom.

CIF file:
```
data_Tm2Os2O5
_cell_length_a 3.5224
_cell_length_b 3.5224
_cell_length_c 9.1904
_cell_angle_alpha 90.00
_cell_angle_beta 90.00
_cell_angle_gamma 90.00
_symmetry_space_group_name_H-M 'P 4/m m m'
_symmetry_Int_Tables_number 123
_symmetry_space_group_name_Hall '-P 4 2'
loop_
_atom_site_label
_atom_site_type_symbol
_atom_site_fract_x
_atom_site_fract_y
_atom_site_fract_z
Tm1 Tm 0.0000 0.0000 0.2362
Os1 Os 0.5000 0.5000 0.0000
Os2 Os 0.5000 0.5000 0.5000
O1 O 0.0000 0.0000 0.0000
O2 O 0.0000 0.5000 0.3728
```



[6]
A relaxed structure of SrTbSn2Pd4, computed with PBE.

Values from the calculation:
As for the density: 8.62 g cm⁻³. For the uncorrected energy, the calculation gives -0.190 Ha/atom.

CIF file:
```
data_SrTbSn2Pd4
_cell_length_a 4.6105
_cell_length_b 4.6105
_cell_length_c 9.5233
_cell_angle_alpha 90.00
_cell_angle_beta 90.00
_cell_angle_gamma 120.00
_symmetry_space_group_name_H-M 'P -6 m 2'
_symmetry_Int_Tables_number 187
_symmetry_space_group_name_Hall 'P -6 2'
loop_
_atom_site_label
_atom_site_type_symbol
_atom_site_fract_x
_atom_site_fract_y
_atom_site_fract_z
Sr1 Sr 0.0000 0.0000 0.0000
Tb1 Tb 0.3333 0.6667 0.5000
Sn1 Sn 0.6667 0.3333 0.2640
Pd1 Pd 0.0000 0.0000 0.3426
Pd2 Pd 0.3333 0.6667 0.1953
```



[7]
A relaxed structure of NaSiBPt, computed with PBE.

Values from the calculation:
As for the density: 7.69 g cm⁻³. For the uncorrected energy, the calculation gives -0.148 Ha/atom. As for the offset from the most stable computed form: 411 meV per atom.

CIF file:
```
data_NaSiBPt
_cell_length_a 6.0534
_cell_length_b 6.0534
_cell_length_c 6.0534
_cell_angle_alpha 90.00
_cell_angle_beta 90.00
_cell_angle_gamma 90.00
_symmetry_space_group_name_H-M 'F -4 3 m'
_symmetry_Int_Tables_number 216
_symmetry_space_group_name_Hall 'F -4 2 3'
loop_
_atom_site_label
_atom_site_type_symbol
_atom_site_fract_x
_atom_site_fract_y
_atom_site_fract_z
Na1 Na 0.0000 0.0000 0.0000
Si1 Si 0.2500 0.2500 0.7500
B1 B 0.0000 0.0000 0.5000
Pt1 Pt 0.2500 0.2500 0.2500
```



[8]
A relaxed structure of UAl10Fe2, computed with PBE.

Values from the calculation:
As for the density: 5.11 g cm⁻³. For the uncorrected energy, the calculation gives -0.195 Ha/atom.

CIF file:
```
data_UAl10Fe2
_cell_length_a 8.8481
_cell_length_b 10.1730
_cell_length_c 8.9424
_cell_angle_alpha 90.00
_cell_angle_beta 90.00
_cell_angle_gamma 90.00
_symmetry_space_group_name_H-M 'C m c m'
_symmetry_Int_Tables_number 63
_symmetry_space_group_name_Hall '-C 2c 2'
loop_
_atom_site_label
_atom_site_type_symbol
_atom_site_fract_x
_atom_site_fract_y
_atom_site_fract_z
U1 U 0.0000 0.1212 0.2500
Al1 Al 0.0000 0.1575 0.5977
Al2 Al 0.0000 0.3743 0.0500
Al3 Al 0.1514 0.3706 0.7500
Al4 Al 0.2246 0.0000 0.0000
Al5 Al 0.2271 0.3616 0.2500
Fe1 Fe 0.2500 0.2500 0.0000
```



Q: The highest uncorrected energy belongs to which entry?
A: Tb3MgCd2In3



Q: The lowest uncorrected energy belongs to which entry?
A: Tm2Os2O5



Q: Among the records above, which one has the highest uncorrected energy?
A: Tb3MgCd2In3



Q: The highest uncorrected energy belongs to which entry?
A: Tb3MgCd2In3